Zn2TcMo | SCAN | single point on PBEsol structure

abc: 4.2979 4.2979 4.2979
angles: 60.00 60.00 60.00
Positions (direct):
Mo  0.5000  0.5000  0.5000
Tc  0.2500  0.2500  0.2500
Zn  0.0000  0.0000  0.0000
Zn  0.7500  0.7500  0.7500

Values from the calculation:
**Space group**: F-43m, No. 216
**Crystal system**: cubic
**E_form**: 0.07 eV per atom
**Energy relative to the lowest polymorph listed for this composition**: 27 kJ/mol of formula units